Version one
A plane-wave DFT calculation with PBE was carried out for an optimized crystal structure of BaLaV2.

**Density of states at the Fermi level**: 1.89 states/eV per atom
**Theoretical density**: 5.22 g/cm3
**V**: 30.04 A^3/atom

```
BaLaV2
1.0
0.0000 3.9168 3.9168
3.9168 0.0000 3.9168
3.9168 3.9168 0.0000
Ba La V
1 1 2
direct
0.0000 0.0000 0.0000
0.5000 0.5000 0.5000
0.2500 0.2500 0.2500
0.7500 0.7500 0.7500
```

Version two
A plane-wave DFT calculation with PBE was carried out for an optimized crystal structure of BaLaV2.

**Density of states at the Fermi level**: 1.65 states/eV per atom
**Theoretical density**: 4.52 g/cm3
**V**: 34.75 A^3/atom

```
BaLaV2
1.0
-2.6571 2.6571 9.8446
2.6571 -2.6571 9.8446
2.6571 2.6571 -9.8446
Ba La V
2 2 4
direct
0.0000 0.0000 0.0000
0.7500 0.2500 0.5000
0.2500 0.7500 0.5000
0.5000 0.5000 0.0000
0.3737 0.6250 0.2487
0.3750 0.6237 0.7487
0.3763 0.1250 0.7513
0.8750 0.6263 0.2513
```

Energetically preferred structure: version one | next structure: +24.5 kJ/mol of atoms